Entry 1:
First-principles (GGA-PBE) data for crystalline Sc3Ga4Ru at its relaxed geometry, as listed in Alexandria.

Cell and atoms, written as POSCAR:
```
Sc3Ga4Ru
1.0
-1.6021 2.8201 8.3812
1.6021 -2.8201 8.3812
1.6021 2.8201 -8.3812
Sc Ga Ru
3 4 1
Cartesian
0.0000 0.0000 0.0000
1.6021 0.0000 4.5238
0.0000 2.8201 3.8574
1.6021 1.3510 -2.0223
1.6021 1.3510 2.0223
0.0000 1.4691 6.3589
0.0000 1.4691 10.4036
0.0000 0.0000 8.3812
```

Output
Magnetization, μB/atom: 0.00
Space group: Immm
ΔE_f, eV per atom: -0.35
Fermi-level density of states, states/eV/cell: 4.324


Entry 2:
First-principles (GGA-PBE) data for crystalline Cs2SeBr2Cl4 at its relaxed geometry, as listed in Alexandria.

Cell and atoms, written as POSCAR:
```
Cs2SeBr2Cl4
1.0
-3.8674 3.8674 5.2836
3.8674 -3.8674 5.2836
3.8674 3.8674 -5.2836
Cs Se Br Cl
2 1 2 4
Cartesian
3.8674 0.0000 2.6418
0.0000 3.8674 2.6418
0.0000 0.0000 0.0000
0.0000 0.0000 2.6075
0.0000 0.0000 7.9597
1.7256 1.7256 0.0000
2.1418 -2.1418 5.2836
-2.1418 2.1418 5.2836
2.1418 2.1418 5.2836
```

Output
Magnetization, μB/atom: 0.00
Space group: I4/mmm
Uncorrected formation energy, meV per atom: -1091.6
Fermi-level density of states, states/eV/cell: 0.000


Entry 3:
First-principles (GGA-PBE) data for crystalline HfCu2Pd2 at its relaxed geometry, as listed in Alexandria.

Cell and atoms, written as POSCAR:
```
HfCu2Pd2
1.0
-1.7321 1.7321 6.7184
1.7321 -1.7321 6.7184
1.7321 1.7321 -6.7184
Hf Cu Pd
1 2 2
Cartesian
0.0000 0.0000 0.0000
1.7321 0.0000 3.3592
0.0000 1.7321 3.3592
0.0000 0.0000 5.3523
0.0000 0.0000 8.0844
```

Output
Magnetization, μB/atom: 0.00
Space group: I4/mmm
ΔE_f, eV per atom: -0.29
Distance to the lowest polymorph of the same formula, meV per atom: 168.7
Fermi-level density of states, states/eV/cell: 2.931


Entry 4:
First-principles (GGA-PBE) data for crystalline LiIrPt at its relaxed geometry, as listed in Alexandria.

Cell and atoms, written as POSCAR:
```
LiIrPt
1.0
2.7034 0.0000 0.0000
-1.3517 2.3412 0.0000
0.0000 0.0000 6.8441
Li Ir Pt
1 1 1
Cartesian
0.0000 0.0000 0.0000
0.0000 1.5608 4.6216
1.3517 0.7804 2.2165
```

Output
Magnetization, μB/atom: 0.00
Space group: P3m1
ΔE_f, eV per atom: -0.12
Distance to the lowest polymorph of the same formula, meV per atom: 57.5
Fermi-level density of states, states/eV/cell: 3.894


Repeat the second record exactly.
First-principles (GGA-PBE) data for crystalline Cs2SeBr2Cl4 at its relaxed geometry, as listed in Alexandria.

Cell and atoms, written as POSCAR:
```
Cs2SeBr2Cl4
1.0
-3.8674 3.8674 5.2836
3.8674 -3.8674 5.2836
3.8674 3.8674 -5.2836
Cs Se Br Cl
2 1 2 4
Cartesian
3.8674 0.0000 2.6418
0.0000 3.8674 2.6418
0.0000 0.0000 0.0000
0.0000 0.0000 2.6075
0.0000 0.0000 7.9597
1.7256 1.7256 0.0000
2.1418 -2.1418 5.2836
-2.1418 2.1418 5.2836
2.1418 2.1418 5.2836
```

Output
Magnetization, μB/atom: 0.00
Space group: I4/mmm
Uncorrected formation energy, meV per atom: -1091.6
Fermi-level density of states, states/eV/cell: 0.000